# 1
Compound: TcPbSe2Br
Source: Alexandria
Functional: GGA-PBE
Structure: optimized geometry

a b c (Å): 4.8984 4.8984 5.2944
angles (deg): 90.00 90.00 90.00
Last column: nearest neighbours and their distance in Å.
Fractional positions:
Tc 0.0000 0.0000 0.0000  4 Se 2.45, 2 Br 2.65
Pb 0.5000 0.5000 0.5000  4 Br 3.46, 8 Se 3.61
Se 0.0000 0.5000 0.0000  2 Tc 2.45
Se 0.5000 0.0000 0.0000  2 Tc 2.45
Br 0.0000 0.0000 0.5000  2 Tc 2.65

The calculation puts the total magnetization at 0.35 Bohr magnetons per cell. For the uncorrected formation energy, the calculation gives 49 meV/atom.



# 2
Compound: Zr2Ti2Pt
Source: Alexandria
Functional: GGA-PBE
Structure: optimized geometry

a b c (Å): 6.7860 6.7860 5.7594
angles (deg): 104.38 104.38 48.31
Last column: nearest neighbours and their distance in Å.
Fractional positions:
Zr 0.0104 0.7776 0.5138  2 Pt 2.79-3.09, 5 Ti 2.96-3.11, 1 Zr 2.97
Zr 0.2224 0.9896 0.9862  2 Pt 2.79-3.09, 5 Ti 2.96-3.11, 1 Zr 2.97
Zr 0.7776 0.0104 0.0138  2 Pt 2.79-3.09, 5 Ti 2.96-3.11, 1 Zr 2.97
Zr 0.9896 0.2224 0.4862  2 Pt 2.79-3.09, 5 Ti 2.96-3.11, 1 Zr 2.97
Ti 0.1973 0.4344 0.8830  2 Pt 2.66-2.84, 1 Ti 2.79, 3 Zr 2.96
Ti 0.4344 0.1973 0.3830  2 Pt 2.66-2.84, 1 Ti 2.79, 3 Zr 2.96
Ti 0.5656 0.8027 0.6170  2 Pt 2.66-2.84, 1 Ti 2.79, 3 Zr 2.96
Ti 0.8027 0.5656 0.1170  2 Pt 2.66-2.84, 1 Ti 2.79, 3 Zr 2.96
Pt 0.4097 0.5903 0.2500  4 Ti 2.66-2.84, 2 Zr 2.79
Pt 0.5903 0.4097 0.7500  4 Ti 2.66-2.84, 2 Zr 2.79

The calculation puts the total magnetization at 0.00 Bohr magnetons per cell. The formation energy is -0.319 eV/atom.



# 3
Compound: FeTcTe2
Source: Alexandria
Functional: GGA-PBE
Structure: optimized geometry

a b c (Å): 3.2959 3.2959 6.6295
angles (deg): 90.00 90.00 90.00
Last column: nearest neighbours and their distance in Å.
Fractional positions:
Fe 0.0000 0.0000 0.0000  8 Te 2.85
Tc 0.0000 0.0000 0.5000  8 Te 2.87
Te 0.5000 0.5000 0.2480  4 Fe 2.85, 4 Tc 2.87
Te 0.5000 0.5000 0.7520  4 Fe 2.85, 4 Tc 2.87

The calculation puts the total magnetization at 2.05 Bohr magnetons per cell. For the uncorrected formation energy, the calculation gives 382 meV/atom.



# 4
Compound: K14PbAu
Source: Alexandria
Functional: GGA-PBE
Structure: optimized geometry

a b c (Å): 12.7019 8.8681 8.8681
angles (deg): 75.20 90.00 90.00
Last column: nearest neighbours and their distance in Å.
Fractional positions:
K 0.0000 0.0000 0.0000  10 K 4.45-4.78
K 0.0000 0.4584 0.4584  8 K 4.30-4.56
K 0.0000 0.5199 0.9314  9 K 4.37-4.81
K 0.0000 0.9314 0.5199  9 K 4.37-4.81
K 0.2423 0.2442 0.2442  1 Pb 3.95, 5 K 4.08-4.30
K 0.3119 0.6142 0.6142  1 Au 3.48, 1 Pb 3.83
K 0.3268 0.1133 0.7260  1 Au 3.51
K 0.3268 0.7260 0.1133  1 Au 3.51
K 0.5000 0.3949 0.9735  1 Au 3.49, 1 Pb 3.80
K 0.5000 0.9735 0.3949  1 Au 3.49, 1 Pb 3.80
K 0.6732 0.1133 0.7260  1 Au 3.51
K 0.6732 0.7260 0.1133  1 Au 3.51
K 0.6881 0.6142 0.6142  1 Au 3.48, 1 Pb 3.83
K 0.7577 0.2442 0.2442  1 Pb 3.95, 5 K 4.08-4.30
Pb 0.5000 0.4010 0.4010  10 K 3.80-3.99
Au 0.5000 0.7940 0.7940  8 K 3.48-3.51

The calculation puts the total magnetization at 0.00 Bohr magnetons per cell. The formation energy is -0.052 eV/atom.



# 5
Compound: Pu2NpIn9
Source: Alexandria
Functional: GGA-PBE
Structure: optimized geometry

a b c (Å): 4.6709 4.6709 14.0222
angles (deg): 90.00 90.00 90.00
Last column: nearest neighbours and their distance in Å.
Fractional positions:
Pu 0.0000 0.0000 0.1670  12 In 3.30-3.31
Pu 0.0000 0.0000 0.8330  12 In 3.30-3.31
Np 0.0000 0.0000 0.5000  12 In 3.30
In 0.0000 0.5000 0.0000  8 In 3.30-3.31, 4 Pu 3.31
In 0.0000 0.5000 0.3337  8 In 3.30, 2 Np 3.30, 2 Pu 3.30
In 0.0000 0.5000 0.6663  8 In 3.30, 2 Np 3.30, 2 Pu 3.30
In 0.5000 0.0000 0.0000  8 In 3.30-3.31, 4 Pu 3.31
In 0.5000 0.0000 0.3337  8 In 3.30, 2 Np 3.30, 2 Pu 3.30
In 0.5000 0.0000 0.6663  8 In 3.30, 2 Np 3.30, 2 Pu 3.30
In 0.5000 0.5000 0.1669  4 Pu 3.30, 8 In 3.30-3.31
In 0.5000 0.5000 0.5000  8 In 3.30, 4 Np 3.30
In 0.5000 0.5000 0.8331  4 Pu 3.30, 8 In 3.30-3.31

The calculation puts the total magnetization at 15.74 Bohr magnetons per cell. The formation energy is -0.151 eV/atom.



Values of V, in order: 25.41, 19.06, 18.00, 60.36, 25.49, all in A^3/atom.